(1)
Material: PmPrSiS
Method: DFT, PBE
State: relaxed

a b c (Å): 4.1711 4.1711 7.3046
angles (deg): 73.41 73.41 60.00
Sites, in units of the cell vectors:
Pm: 0.1938 0.1938 0.4187
Pr: 0.6942 0.6942 0.9175
Si: 0.9428 0.9428 0.1716
S: 0.4457 0.4457 0.6630

space-group type: R3m

=====

(2)
Material: PmPr3Sm3S8
Method: DFT, PBE
State: relaxed

a b c (Å): 8.0793 8.0796 8.1159
angles (deg): 119.85 90.00 120.00
Sites, in units of the cell vectors:
Pm: 0.0000 0.0000 0.5000
Pr: 0.0000 0.0000 0.0000
Pr: 0.0000 0.5000 0.0000
Pr: 0.5000 0.5000 0.0000
Sm: 0.5000 0.0000 0.5000
Sm: 0.5000 0.5000 0.5000
Sm: 0.0000 0.5000 0.5000
S: 0.2528 0.5056 0.2583
S: 0.7472 0.4944 0.7417
S: 0.7510 0.5019 0.2566
S: 0.2490 0.4981 0.7434
S: 0.7510 0.0056 0.2566
S: 0.2490 0.9944 0.7434
S: 0.2546 0.0056 0.2566
S: 0.7454 0.9944 0.7434

space-group type: R-3m

=====

(3)
Material: PmPr2Sm3S6
Method: DFT, PBE
State: relaxed

a b c (Å): 7.0079 7.0079 7.0120
angles (deg): 99.56 99.56 120.16
Sites, in units of the cell vectors:
Pm: 0.0000 0.0000 0.0000
Pr: 0.3333 0.6667 0.0000
Pr: 0.6667 0.3333 0.0000
Sm: 0.1682 0.8318 0.5000
Sm: 0.8318 0.1682 0.5000
Sm: 0.5000 0.5000 0.5000
S: 0.9147 0.5848 0.7440
S: 0.7562 0.7562 0.2574
S: 0.0853 0.4152 0.2560
S: 0.5848 0.9147 0.7440
S: 0.2438 0.2438 0.7426
S: 0.4152 0.0853 0.2560

space-group type: C2/m

=====

Number 1: raw formation energy -1347 meV per atom, DOS(E_F) 1.6 states/eV/cell. Number 2: raw formation energy -2043 meV per atom, DOS(E_F) 7.1 states/eV/cell. Number 3: raw formation energy -2028 meV per atom, DOS(E_F) 5.2 states/eV/cell.